A plane-wave DFT calculation with PBE with a Hubbard U was carried out for a relaxed FeRhCl2O crystal.

Space group   P4/mmm
Fermi-level density of states   3.49 states/eV/cell
Total DFT energy (no corrections)   -0.1484 hartree per atom
ρ   3.882 g cm⁻³
V   21.0 Å³ per atom

CIF file:
```
data_FeRhCl2O
_cell_length_a 5.4208
_cell_length_b 3.5761
_cell_length_c 5.4208
_cell_angle_alpha 90.00
_cell_angle_beta 90.00
_cell_angle_gamma 90.00
_symmetry_space_group_name_H-M 'P 1'
_symmetry_Int_Tables_number 1
loop_
_symmetry_equiv_pos_as_xyz
'x,y,z'
loop_
_atom_site_label
_atom_site_type_symbol
_atom_site_fract_x
_atom_site_fract_y
_atom_site_fract_z
Rh1 Rh 0.0000 0.5000 0.0000
Fe1 Fe 0.5000 0.5000 0.5000
O1 O 0.0000 0.0000 0.0000
Cl1 Cl 0.0000 0.0000 0.5000
Cl2 Cl 0.5000 0.0000 0.0000
```